# TmAlZnNi | Alexandria | PBE | optimized geometry
# Energy of formation from the pure elements ... -0.429 eV per atom
# Raw total energy ... -4.246 eV per atom
# Volume ... 16.412 Å³ per atom
# DOS at the Fermi energy ... 7.3 states/eV/cell
data_TmAlZnNi
_chemical_formula_sum 'Tm4 Al4 Zn4 Ni4'
_cell_length_a 6.404
_cell_length_b 6.404
_cell_length_c 6.404
_cell_angle_alpha 90.00
_cell_angle_beta 90.00
_cell_angle_gamma 90.00
_space_group_name_H-M_alt 'F -4 3 m'
_space_group_IT_number 216
_space_group_name_Hall 'F -4 2 3'
loop_
_atom_site_label
_atom_site_fract_x
_atom_site_fract_y
_atom_site_fract_z
Tm1 0.000 0.000 0.000
Al1 0.000 0.000 0.500
Zn1 0.250 0.250 0.250
Ni1 0.250 0.250 0.750